This record from Alexandria via LeMat-Bulk describes a relaxed As2RuW crystal. The functional is GGA-PBE.

abc: 8.0150 8.0150 8.0150
angles: 21.76 21.76 21.76
With the nearest neighbours (Å) after each atom.
Element x y z (fractional)
W1 0.7500 0.7500 0.7500  6 As 2.66
As1 0.5024 0.5024 0.5024  3 Ru 2.58, 3 W 2.66
As2 0.9976 0.9976 0.9976  3 Ru 2.58, 3 W 2.66
Ru1 0.2500 0.2500 0.2500  6 As 2.58

## Properties
For the density of states at the Fermi level, the calculation gives 5.00 states/eV/cell. For the total magnetization, the calculation gives 0.000 μB per atom. As for the formation energy: 218 meV per atom. The value obtained for the relative energy among the computed polymorphs is 0.222 eV/atom.